First-principles (meta-GGA SCAN) data for a PBEsol-optimized structure of Tb6NiBr10, as listed in Alexandria.

## Properties
Crystal system: triclinic
Uncorrected energy in eV per atom: -30.66
E_form (uncorrected) in eV/atom: -1.755

Cell: 7.163 8.962 8.983 Å, 108.04 97.05 105.49°
Sites, in units of the cell vectors:
Br 0.914 0.630 0.179
Br 0.740 0.917 0.538
Br 0.451 0.818 0.088
Br 0.260 0.083 0.462
Br 0.549 0.182 0.912
Br 0.639 0.539 0.727
Br 0.213 0.737 0.646
Br 0.086 0.370 0.821
Br 0.787 0.263 0.354
Br 0.361 0.461 0.273
Tb 0.030 0.702 0.907
Tb 0.124 0.044 0.752
Tb 0.639 0.865 0.822
Tb 0.876 0.956 0.248
Tb 0.361 0.135 0.178
Tb 0.970 0.298 0.093
Ni 0.000 0.000 0.000